1.
Computed, not measured: a PBEsol-optimized structure of Sr4MoOs at the SCAN level of DFT.

Geometry as POSCAR:
```
Sr4MoOs
1.0
-3.014 0.597 -5.427
-5.334 -3.086 -0.960
-5.401 3.108 -0.241
Mo Os Sr
1 1 4
direct
0.750 0.750 0.750
0.000 0.000 0.000
0.374 0.878 0.374
0.374 0.374 0.374
0.374 0.374 0.878
0.878 0.374 0.374
```

Values from the calculation:
theoretical density: 6.2 g cm⁻³
D(E_F): 1.285 states/eV per atom
energy relative to the elements: 1.80 eV/atom

***

2.
Computed, not measured: a PBEsol-optimized structure of LaIn at the SCAN level of DFT.

Geometry as POSCAR:
```
LaIn
1.0
3.610 0.000 0.000
0.000 4.667 0.000
0.000 0.000 6.712
La In
2 2
direct
0.000 0.000 0.120
0.500 0.500 0.880
0.500 0.500 0.381
0.000 0.000 0.619
```

Values from the calculation:
theoretical density: 7.5 g cm⁻³
D(E_F): 0.641 states/eV per atom
energy relative to the elements: -0.35 eV/atom

***

3.
Computed, not measured: a PBEsol-optimized structure of AlTc2P at the SCAN level of DFT.

Geometry as POSCAR:
```
AlTc2P
1.0
-2.650 -0.938 0.137
1.698 -0.353 4.470
-0.359 4.642 -1.142
Al Tc P
1 2 1
direct
0.500 0.000 0.000
0.000 0.500 0.000
0.000 0.000 0.500
0.500 0.500 0.500
```

Values from the calculation:
theoretical density: 7.7 g cm⁻³
D(E_F): 0.617 states/eV per atom
energy above the lowest structure with this stoichiometry: 0.92 eV/f.u.
energy relative to the elements: -0.09 eV/atom

***

4.
Computed, not measured: a PBEsol-optimized structure of AlNi2W at the SCAN level of DFT.

Geometry as POSCAR:
```
AlNi2W
1.0
2.645 0.000 0.000
-1.323 4.142 0.004
0.000 -0.712 4.661
W Ni Al
1 2 1
direct
0.000 0.000 0.500
0.246 0.491 0.256
0.754 0.509 0.744
0.500 0.000 0.000
```

Values from the calculation:
theoretical density: 10.7 g cm⁻³
D(E_F): 0.559 states/eV per atom
energy relative to the elements: -0.07 eV/atom

***

5.
Computed, not measured: a PBEsol-optimized structure of LiCuAg2 at the SCAN level of DFT.

Geometry as POSCAR:
```
LiCuAg2
1.0
-1.157 0.233 -2.475
-2.489 -2.909 0.889
-3.514 3.612 1.983
Ag Li Cu
2 1 1
direct
0.000 0.000 0.986
0.500 0.500 0.270
0.500 0.500 0.747
0.000 0.000 0.497
```

Values from the calculation:
theoretical density: 8.1 g cm⁻³
D(E_F): 0.276 states/eV per atom
energy relative to the elements: -0.02 eV/atom

***

6.
Computed, not measured: a PBEsol-optimized structure of NaGeAs2Br at the SCAN level of DFT.

Geometry as POSCAR:
```
NaGeAs2Br
1.0
4.990 0.000 0.000
0.000 4.990 0.000
0.000 0.000 5.088
Br As Ge Na
1 2 1 1
direct
0.000 0.000 0.500
0.500 0.000 0.000
0.000 0.500 0.000
0.500 0.500 0.500
0.000 0.000 0.000
```

Values from the calculation:
theoretical density: 4.3 g cm⁻³
D(E_F): 0.698 states/eV per atom
uncorrected formation energy: 0.90 eV/atom

***

7.
Computed, not measured: a PBEsol-optimized structure of Sr4BrCl at the SCAN level of DFT.

Geometry as POSCAR:
```
Sr4BrCl
1.0
7.420 0.000 0.000
3.710 6.426 0.000
3.710 2.142 6.058
Sr Br Cl
4 1 1
direct
0.375 0.875 0.375
0.375 0.375 0.875
0.375 0.375 0.375
0.875 0.375 0.375
0.750 0.750 0.750
0.000 0.000 0.000
```

Values from the calculation:
theoretical density: 2.7 g cm⁻³
D(E_F): 0.648 states/eV per atom
uncorrected formation energy: -0.21 eV/atom

***

8.
Computed, not measured: a PBEsol-optimized structure of YRuW2 at the SCAN level of DFT.

Geometry as POSCAR:
```
YRuW2
1.0
3.142 0.000 0.000
0.000 4.517 0.000
-1.571 -2.259 4.806
Y Ru W
1 1 2
direct
0.000 0.500 0.000
0.500 0.000 0.000
0.238 0.238 0.477
0.762 0.762 0.523
```

Values from the calculation:
theoretical density: 13.6 g cm⁻³
D(E_F): 0.578 states/eV per atom
energy above the lowest structure with this stoichiometry: 0.00 eV/f.u.
energy relative to the elements: 0.24 eV/atom

***

9.
Computed, not measured: a PBEsol-optimized structure of Ti2Cr4Cu3Se12 at the SCAN level of DFT.

Geometry as POSCAR:
```
Ti2Cr4Cu3Se12
1.0
7.279 0.001 -0.034
0.002 7.279 -0.034
3.342 3.341 15.367
Cr Ti Se Cu
8 4 24 6
direct
0.000 0.000 0.000
0.324 0.342 0.833
0.000 0.500 0.500
0.500 0.000 0.000
0.000 0.000 0.500
0.658 0.676 0.667
0.342 0.324 0.333
0.676 0.658 0.167
0.155 0.675 0.664
0.845 0.325 0.336
0.325 0.845 0.836
0.675 0.155 0.164
0.589 0.565 0.329
0.437 0.907 0.161
0.083 0.092 0.838
0.908 0.917 0.662
0.565 0.589 0.829
0.766 0.250 0.499
0.092 0.083 0.338
0.234 0.750 0.501
0.250 0.766 0.999
0.410 0.912 0.669
0.917 0.908 0.162
0.435 0.411 0.171
0.253 0.236 0.994
0.088 0.590 0.831
0.411 0.435 0.671
0.236 0.253 0.494
0.764 0.747 0.506
0.912 0.410 0.169
0.590 0.088 0.331
0.093 0.563 0.339
0.563 0.093 0.839
0.747 0.764 0.006
0.750 0.234 0.001
0.907 0.437 0.661
0.138 0.862 0.250
0.459 0.215 0.582
0.862 0.138 0.750
0.541 0.785 0.418
0.215 0.459 0.082
0.785 0.541 0.918
```

Values from the calculation:
theoretical density: 5.9 g cm⁻³
D(E_F): 0.238 states/eV per atom
uncorrected formation energy: -0.85 eV/atom

***

10.
Computed, not measured: a PBEsol-optimized structure of TaSbRh2 at the SCAN level of DFT.

Geometry as POSCAR:
```
TaSbRh2
1.0
3.024 0.000 -0.100
0.000 4.478 0.000
-0.943 0.000 4.889
Sb Rh Ta
1 2 1
direct
0.267 0.000 0.581
0.793 0.500 0.698
0.967 0.000 0.045
0.473 0.500 0.177
```

Values from the calculation:
theoretical density: 12.8 g cm⁻³
D(E_F): 0.530 states/eV per atom
uncorrected formation energy: -0.33 eV/atom

***

11.
Computed, not measured: a PBEsol-optimized structure of NaAl3NiCl12 at the SCAN level of DFT.

Geometry as POSCAR:
```
NaAl3NiCl12
1.0
12.151 0.000 0.000
0.000 13.363 0.147
0.000 -3.425 11.754
Cl Na Ni Al
48 4 4 12
direct
0.612 0.644 0.752
0.088 0.167 0.867
0.421 0.592 0.123
0.308 0.328 0.941
0.879 0.118 0.328
0.579 0.408 0.877
0.372 0.805 0.814
0.128 0.805 0.314
0.121 0.882 0.672
0.656 0.460 0.183
0.888 0.644 0.252
0.898 0.377 0.955
0.398 0.623 0.545
0.344 0.540 0.817
0.122 0.279 0.175
0.832 0.887 0.412
0.833 0.927 0.718
0.652 0.107 0.492
0.921 0.408 0.377
0.378 0.279 0.675
0.668 0.887 0.912
0.412 0.167 0.367
0.808 0.672 0.559
0.588 0.833 0.633
0.844 0.460 0.683
0.692 0.672 0.059
0.912 0.833 0.133
0.621 0.118 0.828
0.156 0.540 0.317
0.167 0.073 0.282
0.079 0.592 0.623
0.379 0.882 0.172
0.848 0.107 0.992
0.872 0.195 0.686
0.878 0.721 0.825
0.152 0.893 0.008
0.388 0.356 0.248
0.332 0.113 0.088
0.628 0.195 0.186
0.622 0.721 0.325
0.112 0.356 0.748
0.102 0.623 0.045
0.667 0.927 0.218
0.602 0.377 0.455
0.333 0.073 0.782
0.192 0.328 0.441
0.348 0.893 0.508
0.168 0.113 0.588
0.800 0.284 0.502
0.300 0.716 0.998
0.200 0.716 0.498
0.700 0.284 0.002
0.232 0.220 0.767
0.768 0.780 0.233
0.732 0.780 0.733
0.268 0.220 0.267
0.257 0.983 0.135
0.981 0.278 0.815
0.243 0.983 0.635
0.909 0.603 0.666
0.481 0.722 0.685
0.519 0.278 0.315
0.409 0.397 0.834
0.743 0.017 0.865
0.091 0.397 0.334
0.591 0.603 0.166
0.019 0.722 0.185
0.757 0.017 0.365
```

Values from the calculation:
theoretical density: 2.0 g cm⁻³
D(E_F): 0.000 states/eV per atom
uncorrected formation energy: -1.64 eV/atom

***

12.
Computed, not measured: a PBEsol-optimized structure of KZn2Te at the SCAN level of DFT.

Geometry as POSCAR:
```
KZn2Te
1.0
3.608 0.000 0.000
0.000 3.608 0.000
0.000 0.000 7.606
Te K Zn
1 1 2
direct
0.500 0.500 0.798
0.000 0.000 0.487
0.000 0.000 0.054
0.500 0.500 0.160
```

Values from the calculation:
theoretical density: 5.0 g cm⁻³
D(E_F): 0.408 states/eV per atom
uncorrected formation energy: -0.08 eV/atom

***

13.
Computed, not measured: a PBEsol-optimized structure of K9Nb2As6 at the SCAN level of DFT.

Geometry as POSCAR:
```
K9Nb2As6
1.0
-0.078 0.852 -9.027
-4.401 -8.149 -0.731
-10.512 7.086 0.759
As K Nb
12 18 4
direct
0.191 0.589 0.876
0.809 0.589 0.376
0.699 0.413 0.621
0.415 0.718 0.532
0.177 0.847 0.161
0.094 0.276 0.481
0.823 0.847 0.661
0.706 0.156 0.327
0.294 0.156 0.827
0.301 0.413 0.121
0.906 0.276 0.981
0.585 0.718 0.032
0.349 0.413 0.669
0.651 0.413 0.169
0.810 0.984 0.102
0.438 0.373 0.397
0.481 0.825 0.797
0.168 0.599 0.339
0.190 0.984 0.602
0.586 0.065 0.570
0.832 0.599 0.839
0.414 0.065 0.070
0.936 0.597 0.115
0.519 0.825 0.297
0.064 0.597 0.615
0.071 0.200 0.222
0.929 0.200 0.722
0.063 0.926 0.901
0.562 0.373 0.897
0.937 0.926 0.401
0.835 0.343 0.447
0.680 0.659 0.551
0.165 0.343 0.947
0.320 0.659 0.051
```

Values from the calculation:
theoretical density: 3.1 g cm⁻³
energy relative to the elements: -0.62 eV/atom

***

14.
Computed, not measured: a PBEsol-optimized structure of Tl2InSe at the SCAN level of DFT.

Geometry as POSCAR:
```
Tl2InSe
1.0
-2.492 2.560 -1.598
-0.303 -2.833 -4.065
-4.300 -1.469 4.353
Tl In Se
2 1 1
direct
0.500 0.559 0.323
0.000 0.926 0.917
0.000 0.116 0.463
0.500 0.400 0.797
```

Values from the calculation:
theoretical density: 8.9 g cm⁻³
D(E_F): 0.286 states/eV per atom
energy above the lowest structure with this stoichiometry: 0.14 eV/f.u.
uncorrected formation energy: -0.22 eV/atom

***

15.
Computed, not measured: a PBEsol-optimized structure of MnSi2Ag at the SCAN level of DFT.

Geometry as POSCAR:
```
MnSi2Ag
1.0
-1.537 1.888 -2.725
-0.309 -3.070 -1.952
-2.762 -0.067 3.966
Si Ag Mn
2 1 1
direct
0.000 0.000 0.999
0.250 0.750 0.500
0.500 0.500 0.000
0.750 0.251 0.500
```

Values from the calculation:
theoretical density: 6.7 g cm⁻³
D(E_F): 0.376 states/eV per atom
energy above the lowest structure with this stoichiometry: 0.30 eV/f.u.
uncorrected formation energy: 0.18 eV/atom

***

16.
Computed, not measured: a PBEsol-optimized structure of YSc3 at the SCAN level of DFT.

Geometry as POSCAR:
```
YSc3
1.0
-0.965 2.735 1.580
0.000 -2.833 4.905
5.119 2.282 -0.824
Sc Y
3 1
direct
0.500 0.500 0.000
0.500 0.000 0.500
0.000 0.000 0.000
0.000 0.500 0.500
```

Values from the calculation:
theoretical density: 3.7 g cm⁻³
D(E_F): 1.736 states/eV per atom
energy above the lowest structure with this stoichiometry: 0.36 eV/f.u.
energy relative to the elements: 0.11 eV/atom

***

17.
Computed, not measured: a PBEsol-optimized structure of Rb2EuF5 at the SCAN level of DFT.

Geometry as POSCAR:
```
Rb2EuF5
1.0
6.801 0.000 0.000
0.000 7.528 0.000
0.000 0.000 11.234
F Rb Eu
20 8 4
direct
0.145 0.550 0.076
0.126 0.769 0.834
0.386 0.268 0.013
0.656 0.768 0.688
0.614 0.768 0.987
0.874 0.269 0.166
0.844 0.768 0.188
0.855 0.487 0.924
0.145 0.987 0.076
0.156 0.268 0.812
0.344 0.268 0.312
0.645 0.050 0.424
0.374 0.769 0.334
0.114 0.268 0.513
0.645 0.487 0.424
0.626 0.269 0.666
0.355 0.987 0.576
0.886 0.768 0.487
0.355 0.550 0.576
0.855 0.050 0.924
0.036 0.016 0.330
0.464 0.521 0.830
0.964 0.516 0.670
0.464 0.016 0.830
0.536 0.021 0.170
0.036 0.521 0.330
0.964 0.021 0.670
0.536 0.516 0.170
0.556 0.768 0.499
0.056 0.268 0.001
0.444 0.268 0.501
0.944 0.768 0.999
```

Values from the calculation:
theoretical density: 4.8 g cm⁻³
uncorrected formation energy: -3.40 eV/atom

***

18.
Computed, not measured: a PBEsol-optimized structure of Mg2AuCl at the SCAN level of DFT.

Geometry as POSCAR:
```
Mg2AuCl
1.0
-0.968 -4.738 0.740
-0.530 -3.014 -3.817
3.416 -3.371 -0.947
Mg Cl Au
2 1 1
direct
0.000 0.000 0.000
0.250 0.250 0.250
0.750 0.750 0.750
0.500 0.500 0.500
```

Values from the calculation:
theoretical density: 5.6 g cm⁻³
D(E_F): 0.286 states/eV per atom
energy above the lowest structure with this stoichiometry: 3.33 eV/f.u.
uncorrected formation energy: -0.07 eV/atom